Below is crystalline NpTl2S2Cl4 at its relaxed geometry, with properties calculated at the PBE level.

Lattice parameters (Å, degrees): 7.389 7.389 7.285 119.46 119.46 57.58
Atoms (fractional coordinates):
1 Np 0.000 0.000 0.000
2 Tl 0.245 0.245 0.749
3 Tl 0.755 0.755 0.251
4 S 0.218 0.218 0.152
5 S 0.782 0.782 0.848
6 Cl 0.217 0.713 0.718
7 Cl 0.287 0.783 0.282
8 Cl 0.713 0.217 0.718
9 Cl 0.783 0.287 0.282

DFT total energy = -42.522 eV per cell